(1)
DFT (PBE-GGA) results for a relaxed structure of Cd2ReNi.

a = 2.7629 Å, b = 2.7629 Å, c = 8.5403 Å
α = 90.00°, β = 90.00°, γ = 90.00°
Closest atoms and distances in Å follow each position.
Element x y z (fractional)
Cd1 0.0000 0.0000 0.2280  4 Ni 2.76, 4 Cd 2.76, 4 Re 3.04
Cd2 0.0000 0.0000 0.7720  4 Ni 2.76, 4 Cd 2.76, 4 Re 3.04
Re1 0.5000 0.5000 0.5000  4 Re 2.76, 8 Cd 3.04
Ni1 0.5000 0.5000 0.0000  8 Cd 2.76, 4 Ni 2.76

Output
The value obtained for the size of the total moment is 0.000 μB/f.u. As for the energy above the most stable polymorph in this dataset: 232 meV per atom. The calculation puts the formation energy at 0.47 eV per atom. For the uncorrected energy, the calculation gives -4.549 eV per atom.

---

(2)
DFT (PBE-GGA) results for a relaxed structure of CdRe2Ni2.

a = 7.5050 Å, b = 7.5050 Å, c = 2.6367 Å
α = 90.00°, β = 90.00°, γ = 90.00°
Closest atoms and distances in Å follow each position.
Element x y z (fractional)
Cd1 0.0000 0.0000 0.0000  2 Cd 2.64, 4 Ni 2.79
Cd2 0.5000 0.5000 0.0000  2 Cd 2.64, 4 Ni 2.79
Re1 0.1216 0.3784 0.5000  6 Ni 2.57-2.59, 3 Re 2.58-2.64
Re2 0.3784 0.8784 0.5000  6 Ni 2.57-2.59, 3 Re 2.58-2.64
Re3 0.6216 0.1216 0.5000  6 Ni 2.57-2.59, 3 Re 2.58-2.64
Re4 0.8784 0.6216 0.5000  6 Ni 2.57-2.59, 3 Re 2.58-2.64
Ni1 0.1681 0.6681 0.0000  6 Re 2.57-2.59, 2 Ni 2.64, 2 Cd 2.79
Ni2 0.3319 0.1681 0.0000  6 Re 2.57-2.59, 2 Ni 2.64, 2 Cd 2.79
Ni3 0.6681 0.8319 0.0000  6 Re 2.57-2.59, 2 Ni 2.64, 2 Cd 2.79
Ni4 0.8319 0.3319 0.0000  6 Re 2.57-2.59, 2 Ni 2.64, 2 Cd 2.79

Output
The value obtained for the size of the total moment is 0.000 μB/f.u. As for the energy above the most stable polymorph in this dataset: 0 meV per atom. The calculation puts the formation energy at 0.34 eV per atom. For the uncorrected energy, the calculation gives -7.131 eV per atom.